# 1
PuMgSi: relaxed, PBE.

```
PuMgSi
1.0
4.143 0.000 -0.116
0.000 3.663 0.000
-1.234 0.000 7.253
Mg Si Pu
2 2 2
Direct
0.757 0.750 0.515
0.243 0.250 0.485
0.646 0.250 0.231
0.354 0.750 0.769
0.897 0.250 0.904
0.103 0.750 0.096
```

Space group ... P2_1/m, No. 11
Volume ... 54.77 Å³/f.u.
E_form (uncorrected) ... -67 meV per atom
Uncorrected energy ... -43.10 eV per cell

# 2
PuMgSi2: relaxed, PBE.

```
PuMgSi2
1.0
-0.724 -1.344 -3.928
-9.282 -5.015 3.426
-7.007 11.226 -2.549
Si Pu Mg
16 8 8
Direct
0.250 0.263 0.289
0.750 0.529 0.466
0.750 0.574 0.135
0.750 0.926 0.635
0.750 0.763 0.211
0.250 0.221 0.108
0.250 0.426 0.865
0.750 0.971 0.966
0.750 0.779 0.892
0.250 0.074 0.365
0.750 0.721 0.392
0.250 0.029 0.034
0.250 0.237 0.789
0.250 0.471 0.534
0.750 0.737 0.711
0.250 0.279 0.608
0.250 0.765 0.053
0.750 0.265 0.447
0.750 0.450 0.696
0.250 0.950 0.804
0.250 0.550 0.304
0.750 0.050 0.196
0.250 0.735 0.553
0.750 0.235 0.947
0.250 0.653 0.804
0.750 0.547 0.937
0.250 0.453 0.063
0.250 0.847 0.304
0.250 0.047 0.563
0.750 0.153 0.696
0.750 0.953 0.437
0.750 0.347 0.196
```

Space group ... Pnma, No. 62
Volume ... 78.75 Å³/f.u.
E_form (uncorrected) ... -314 meV per atom
Uncorrected energy ... -224.24 eV per cell

# 3
PuMgSi2: relaxed, PBE.

```
PuMgSi2
1.0
-3.407 2.066 -0.242
-1.424 -1.927 3.605
1.749 3.163 2.382
Mg Si Pu
1 2 1
Direct
0.500 0.000 0.000
0.000 0.000 0.500
0.000 0.500 0.000
0.500 0.500 0.500
```

Space group ... P4/mmm, No. 123
Volume ... 74.80 Å³/f.u.
E_form (uncorrected) ... -251 meV per atom
Uncorrected energy ... -27.78 eV per cell

# 4
PuMg2Si2: relaxed, PBE.

```
PuMg2Si2
1.0
4.049 0.000 0.000
0.000 4.634 0.026
0.000 -1.070 11.039
Pu Si Mg
2 4 4
Direct
0.750 0.323 0.758
0.250 0.677 0.242
0.250 0.360 0.983
0.250 0.782 0.651
0.750 0.640 0.017
0.750 0.218 0.349
0.750 0.749 0.492
0.250 0.251 0.508
0.750 0.153 0.119
0.250 0.847 0.881
```

Space group ... P2_1/m, No. 11
Volume ... 103.62 Å³/f.u.
E_form (uncorrected) ... -165 meV per atom
Uncorrected energy ... -58.39 eV per cell

# 5
PuMgSi: relaxed, PBE.

```
PuMgSi
1.0
-1.166 -1.819 4.145
3.230 -0.444 3.350
-0.170 2.734 3.788
Mg Pu Si
1 1 1
Direct
0.500 0.500 0.500
0.000 0.000 0.000
0.250 0.250 0.250
```

Space group ... F-43m, No. 216
Volume ... 72.22 Å³/f.u.
E_form (uncorrected) ... -159 meV per atom
Uncorrected energy ... -21.83 eV per cell

# 6
PuMgSi2: relaxed, PBE.

```
PuMgSi2
1.0
-1.173 1.143 -3.889
-0.687 -3.603 -0.852
-4.187 -0.038 3.538
Pu Si Mg
1 2 1
Direct
0.443 0.500 0.425
0.004 0.000 0.548
0.160 0.500 0.858
0.724 0.000 0.987
```

Space group ... Amm2, No. 38
Volume ... 80.41 Å³/f.u.
E_form (uncorrected) ... -287 meV per atom
Uncorrected energy ... -27.92 eV per cell

# 7
PuMg3Si2: relaxed, PBE.

```
PuMg3Si2
1.0
4.161 0.000 1.146
1.147 7.192 3.965
-0.044 -0.106 8.293
Si Mg Pu
4 6 2
Direct
0.500 0.858 0.142
0.500 0.142 0.858
0.795 0.705 0.705
0.205 0.295 0.295
0.000 0.335 0.666
0.671 0.133 0.526
0.329 0.867 0.474
0.329 0.473 0.868
0.000 0.665 0.334
0.671 0.527 0.132
0.873 0.127 0.127
0.127 0.873 0.873
```

Space group ... C2/m, No. 12
Volume ... 125.07 Å³/f.u.
E_form (uncorrected) ... -154 meV per atom
Uncorrected energy ... -61.77 eV per cell

# 8
PuMgSi2: relaxed, PBE.

```
PuMgSi2
1.0
-1.457 -3.006 3.383
2.692 -3.737 1.179
2.216 -0.101 4.205
Pu Si Mg
1 2 1
Direct
0.500 0.500 0.500
0.750 0.750 0.750
0.250 0.250 0.250
0.000 0.000 0.000
```

Space group ... Fm-3m, No. 225
Volume ... 75.99 Å³/f.u.
E_form (uncorrected) ... -167 meV per atom
Uncorrected energy ... -27.44 eV per cell

# 9
PuMgSi2: relaxed, PBE.

```
PuMgSi2
1.0
3.118 0.000 0.000
0.000 3.118 0.000
0.000 0.000 7.837
Si Mg Pu
2 1 1
Direct
0.000 0.000 0.762
0.000 0.000 0.238
0.500 0.500 0.000
0.500 0.500 0.500
```

Space group ... P4/mmm, No. 123
Volume ... 76.20 Å³/f.u.
E_form (uncorrected) ... -83 meV per atom
Uncorrected energy ... -27.11 eV per cell

# 10
TbPuMgSi: relaxed, PBE.

```
TbPuMgSi
1.0
5.093 0.000 0.000
2.547 4.411 0.000
2.547 1.470 4.159
Mg Tb Si Pu
1 1 1 1
Direct
0.250 0.250 0.250
0.000 0.000 0.000
0.750 0.750 0.750
0.500 0.500 0.500
```

Space group ... F-43m, No. 216
Volume ... 93.43 Å³/f.u.
E_form (uncorrected) ... -148 meV per atom
Uncorrected energy ... -26.57 eV per cell

# 11
PuMgZnSi: relaxed, PBE.

```
PuMgZnSi
1.0
-3.590 3.191 0.064
-4.218 -1.090 -2.023
-3.856 -0.778 2.757
Mg Zn Si Pu
1 1 1 1
Direct
0.500 0.500 0.500
0.250 0.250 0.250
0.750 0.750 0.750
0.000 0.000 0.000
```

Space group ... F-43m, No. 216
Volume ... 78.36 Å³/f.u.
E_form (uncorrected) ... -196 meV per atom
Uncorrected energy ... -23.41 eV per cell

# 12
Sm2PuMg: relaxed, PBE.

```
Sm2PuMg
1.0
-0.753 -3.450 0.117
3.351 -0.702 0.873
-2.218 0.796 9.158
Sm Pu Mg
2 1 1
Direct
0.000 0.000 0.243
0.000 0.000 0.757
0.500 0.500 0.500
0.500 0.500 0.000
```

Relative energy among the computed polymorphs ... 0.000 eV per atom
Formation energy from the elements ... 0.062 eV per atom
Space group ... P4/mmm, No. 123
Volume ... 118.02 Å³/f.u.
Uncorrected energy ... -25.12 eV per cell

Number 3 is which compound?
PuMgSi2